(1)
## BaNaRh (PBE)

Data for a geometry-optimized BaNaRh structure.

The structure in POSCAR format:
```
BaNaRh
1.0
2.3577 -9.6040 0.0000
2.3577 9.6040 0.0000
0.0000 0.0000 4.5708
Ba Na Rh
2 2 2
Direct
0.0859 0.9141 0.7500
0.9141 0.0859 0.2500
0.3034 0.6966 0.7500
0.6966 0.3034 0.2500
0.4755 0.5245 0.7500
0.5245 0.4755 0.2500
```

Properties
ΔE_f = -91 meV/atom
electronic total energy = -21.73 eV per cell
polymorph energy (0 for the lowest one) = 0.000 eV per atom

---

(2)
## Ba6Na8Rh (PBE)

Data for a geometry-optimized Ba6Na8Rh structure.

The structure in POSCAR format:
```
Ba6Na8Rh
1.0
8.9073 0.0000 0.0000
-4.4296 7.7427 0.0000
-0.0379 -5.1067 10.4555
Ba Na Rh
6 8 1
Direct
0.1677 0.4028 0.1688
0.2629 0.9309 0.1696
0.2653 0.5014 0.8319
0.7347 0.4986 0.1681
0.7371 0.0691 0.8304
0.8323 0.5972 0.8312
0.0599 0.1693 0.4370
0.2330 0.6725 0.5632
0.2866 0.0735 0.8620
0.3927 0.1259 0.5652
0.6073 0.8741 0.4348
0.7134 0.9265 0.1380
0.7670 0.3275 0.4368
0.9401 0.8307 0.5630
0.0000 0.5000 0.0000
```

Properties
ΔE_f = -35 meV/atom
electronic total energy = -29.97 eV per cell

---

(3)
## Ba2NaRh2 (PBE)

Data for a geometry-optimized Ba2NaRh2 structure.

The structure in POSCAR format:
```
Ba2NaRh2
1.0
-2.9430 2.9430 4.3974
2.9430 -2.9430 4.3974
2.9430 2.9430 -4.3974
Ba Na Rh
2 1 2
Direct
0.2500 0.7500 0.5000
0.7500 0.2500 0.5000
0.0000 0.0000 0.0000
0.3521 0.3521 0.0000
0.6479 0.6479 0.0000
```

Properties
ΔE_f = 186 meV/atom
electronic total energy = -18.94 eV per cell
polymorph energy (0 for the lowest one) = 0.151 eV per atom

---

(4)
## Ba6Na2Rh (PBE)

Data for a geometry-optimized Ba6Na2Rh structure.

The structure in POSCAR format:
```
Ba6Na2Rh
1.0
8.7222 0.0000 0.0000
0.0000 8.7231 0.0000
-8.7163 0.0000 12.6932
Ba Na Rh
12 4 2
Direct
0.2192 0.2279 0.0015
0.2192 0.2721 0.5015
0.2372 0.9999 0.7406
0.2372 0.5001 0.2406
0.2736 0.7177 0.0015
0.2736 0.7823 0.5015
0.7264 0.2177 0.4985
0.7264 0.2823 0.9985
0.7628 0.0001 0.2594
0.7628 0.4999 0.7594
0.7808 0.7279 0.4985
0.7808 0.7721 0.9985
0.2509 0.5009 0.7500
0.2509 0.9991 0.2500
0.7491 0.0009 0.7500
0.7491 0.4991 0.2500
0.0000 0.0000 0.5000
0.0000 0.5000 0.0000
```

Properties
ΔE_f = -113 meV/atom
electronic total energy = -45.08 eV per cell

---

(5)
## Ba2NaRh (PBE)

Data for a geometry-optimized Ba2NaRh structure.

The structure in POSCAR format:
```
Ba2NaRh
1.0
-4.6184 4.6184 3.8299
4.6184 -4.6184 3.8299
4.6184 4.6184 -3.8299
Ba Na Rh
4 2 2
Direct
0.0428 0.6250 0.9178
0.3750 0.2928 0.4178
0.7072 0.1250 0.0822
0.8750 0.9572 0.5822
0.2500 0.7500 0.5000
0.5000 0.5000 0.0000
0.0000 0.0000 0.0000
0.7500 0.2500 0.5000
```

Properties
ΔE_f = 78 meV/atom
electronic total energy = -24.41 eV per cell
polymorph energy (0 for the lowest one) = 0.185 eV per atom

---

(6)
## Ba7Na4Rh (PBE)

Data for a geometry-optimized Ba7Na4Rh structure.

The structure in POSCAR format:
```
Ba7Na4Rh
1.0
11.3621 -3.1461 0.0000
11.3621 3.1461 0.0000
-1.6620 0.0000 8.6067
Ba Na Rh
7 4 1
Direct
0.0000 0.0000 0.0000
0.2211 0.2211 0.6457
0.3799 0.3799 0.1186
0.4258 0.4258 0.6647
0.5742 0.5742 0.3353
0.6201 0.6201 0.8814
0.7789 0.7789 0.3543
0.0566 0.0566 0.6263
0.1875 0.1875 0.1483
0.8125 0.8125 0.8517
0.9434 0.9434 0.3737
0.5000 0.5000 0.0000
```

Properties
ΔE_f = -45 meV/atom
electronic total energy = -26.62 eV per cell

---

(7)
## Ba12NaRh5 (PBE)

Data for a geometry-optimized Ba12NaRh5 structure.

The structure in POSCAR format:
```
Ba12NaRh5
1.0
3.9475 -7.0907 0.0000
3.9475 7.0907 0.0000
-0.1097 0.0000 14.8292
Ba Na Rh
12 1 5
Direct
0.0029 0.6706 0.6063
0.1107 0.1107 0.1247
0.1171 0.5033 0.8783
0.3294 0.9971 0.3937
0.3392 0.3392 0.6117
0.4967 0.8829 0.1217
0.5033 0.1171 0.8783
0.6608 0.6608 0.3883
0.6706 0.0029 0.6063
0.8829 0.4967 0.1217
0.8893 0.8893 0.8753
0.9971 0.3294 0.3937
0.5000 0.5000 0.0000
0.0000 0.0000 0.5000
0.1640 0.8360 0.0000
0.3345 0.6655 0.5000
0.6655 0.3345 0.5000
0.8360 0.1640 0.0000
```

Properties
ΔE_f = -117 meV/atom
electronic total energy = -63.25 eV per cell

---

(8)
## Ba2NaRh (PBE)

Data for a geometry-optimized Ba2NaRh structure.

The structure in POSCAR format:
```
Ba2NaRh
1.0
3.8939 0.0000 0.0000
0.0000 3.8939 0.0000
0.0000 0.0000 9.8336
Ba Na Rh
2 1 1
Direct
0.0000 0.0000 0.1816
0.0000 0.0000 0.8184
0.5000 0.5000 0.5000
0.5000 0.5000 0.0000
```

Properties
ΔE_f = -84 meV/atom
electronic total energy = -12.85 eV per cell
polymorph energy (0 for the lowest one) = 0.022 eV per atom

---

(9)
## Ba8Na3Rh (PBE)

Data for a geometry-optimized Ba8Na3Rh structure.

The structure in POSCAR format:
```
Ba8Na3Rh
1.0
12.6072 0.0000 0.0000
-6.3036 10.9181 0.0000
0.0000 0.0000 8.8988
Ba Na Rh
16 6 2
Direct
0.0000 0.0000 0.2810
0.0000 0.0000 0.7810
0.0990 0.5495 0.3095
0.1854 0.3709 0.0000
0.1854 0.8146 0.0000
0.3333 0.6667 0.7339
0.3709 0.1854 0.5000
0.4505 0.5495 0.3095
0.4505 0.9010 0.3095
0.5495 0.0990 0.8095
0.5495 0.4505 0.8095
0.6291 0.8146 0.0000
0.6667 0.3333 0.2339
0.8146 0.1854 0.5000
0.8146 0.6291 0.5000
0.9010 0.4505 0.8095
0.1620 0.3240 0.5576
0.1620 0.8380 0.5576
0.3240 0.1620 0.0576
0.6760 0.8380 0.5576
0.8380 0.1620 0.0576
0.8380 0.6760 0.0576
0.3333 0.6667 0.0947
0.6667 0.3333 0.5947
```

Properties
ΔE_f = -26 meV/atom
electronic total energy = -54.00 eV per cell

---

(10)
## Ba7Na2Rh (PBE)

Data for a geometry-optimized Ba7Na2Rh structure.

The structure in POSCAR format:
```
Ba7Na2Rh
1.0
9.3715 -5.2037 0.0000
9.3715 5.2037 0.0000
-9.2904 0.0000 10.6051
Ba Na Rh
14 4 2
Direct
0.0947 0.9053 0.7500
0.1744 0.5703 0.2103
0.2099 0.4163 0.4812
0.2457 0.5697 0.8668
0.4163 0.2099 0.9812
0.4303 0.7543 0.6332
0.4297 0.8256 0.2897
0.5703 0.1744 0.7103
0.5697 0.2457 0.3668
0.5837 0.7901 0.0188
0.7543 0.4303 0.1332
0.7901 0.5837 0.5188
0.8256 0.4297 0.7897
0.9053 0.0947 0.2500
0.1170 0.1611 0.5980
0.1611 0.1170 0.0980
0.8389 0.8830 0.9020
0.8830 0.8389 0.4020
0.4181 0.5819 0.7500
0.5819 0.4181 0.2500
```

Properties
ΔE_f = -41 meV/atom
electronic total energy = -47.72 eV per cell

---

(11)
## Ba4Na2Rh (PBE)

Data for a geometry-optimized Ba4Na2Rh structure.

The structure in POSCAR format:
```
Ba4Na2Rh
1.0
7.2283 0.0000 0.0000
0.0000 8.1383 0.0000
-1.0528 0.0000 11.5006
Ba Na Rh
8 4 2
Direct
0.1760 0.2500 0.0790
0.2252 0.7500 0.3920
0.2654 0.0022 0.7458
0.2654 0.4978 0.7458
0.7346 0.5022 0.2542
0.7346 0.9978 0.2542
0.7748 0.2500 0.6080
0.8240 0.7500 0.9210
0.2485 0.2500 0.4253
0.3336 0.7500 0.0596
0.6664 0.2500 0.9404
0.7515 0.7500 0.5747
0.0166 0.2500 0.8278
0.9834 0.7500 0.1722
```

Properties
ΔE_f = -30 meV/atom
electronic total energy = -35.79 eV per cell
polymorph energy (0 for the lowest one) = 0.033 eV per atom

---

(12)
## Ba8Na3Rh2 (PBE)

Data for a geometry-optimized Ba8Na3Rh2 structure.

The structure in POSCAR format:
```
Ba8Na3Rh2
1.0
9.6036 -4.5957 0.0000
9.6036 4.5957 0.0000
-0.1582 0.0000 7.6129
Ba Na Rh
8 3 2
Direct
0.0937 0.5824 0.1674
0.1367 0.1367 0.2968
0.3272 0.3272 0.6733
0.4176 0.9063 0.8326
0.5824 0.0937 0.1674
0.6728 0.6728 0.3267
0.8633 0.8633 0.7032
0.9063 0.4176 0.8326
0.3072 0.6928 0.5000
0.5000 0.5000 0.0000
0.6928 0.3072 0.5000
0.2429 0.2429 0.0083
0.7571 0.7571 0.9917
```

Properties
ΔE_f = -82 meV/atom
electronic total energy = -35.10 eV per cell